DFT (PBE) results for a relaxed LaCe2ZrN4 crystal.

## Properties
- Density: 7.58 Mg/m³
- Calculated volume: 124 Å³/cell
- Space-group type: No. 10
- Fermi-level density of states: 5.5 states/eV per cell
- Formation energy from raw total energies: -1.482 eV per atom

The structure in CIF format:
```
data_LaCe2ZrN4
_chemical_formula_sum 'La1 Ce2 Zr1 N4'
_cell_length_a 3.5014
_cell_length_b 6.1738
_cell_length_c 6.0830
_cell_angle_alpha 109.24
_cell_angle_beta 90.00
_cell_angle_gamma 90.00
_space_group_name_H-M_alt 'P 1'
_space_group_IT_number 1
_space_group_name_Hall 'P 1'
loop_
_atom_site_label
_atom_site_type_symbol
_atom_site_fract_x
_atom_site_fract_y
_atom_site_fract_z
Ce1 Ce 0.5000 0.0000 0.5000
Ce2 Ce 0.0000 0.5000 0.5000
La1 La 0.5000 0.5000 0.0000
N1 N 0.0000 0.7802 0.2488
N2 N 0.5000 0.2252 0.2368
N3 N 0.5000 0.7748 0.7632
N4 N 0.0000 0.2198 0.7512
Zr1 Zr 0.0000 0.0000 0.0000
```